Entry 1:
# Rb2NaCuCl6

A relaxed structure of Rb2NaCuCl6 (PBE-GGA, Alexandria via LeMat-Bulk).

**Spin magnetization**: 1.91 μB/f.u.
**Formation energy (no corrections)**: -1.259 eV/atom
**Symmetry**: No. 225
**Fermi-level density of states**: 0.5737 states/eV per atom
**Final energy**: -3.102 eV per atom

Lattice parameters (Å, degrees): 7.267 7.267 7.267 60.00 60.00 60.00
Atoms (fractional coordinates):
Rb1 0.250 0.250 0.250
Rb2 0.750 0.750 0.750
Na1 0.000 0.000 0.000
Cu1 0.500 0.500 0.500
Cl1 0.268 0.268 0.732
Cl2 0.268 0.732 0.268
Cl3 0.268 0.732 0.732
Cl4 0.732 0.268 0.268
Cl5 0.732 0.268 0.732
Cl6 0.732 0.732 0.268

=====

Entry 2:
# Ce9ThPb2

A relaxed structure of Ce9ThPb2 (PBE-GGA, Alexandria via LeMat-Bulk).

**Spin magnetization**: 6.88 μB/f.u.
**Symmetry**: No. 123
**Fermi-level density of states**: 2.7961 states/eV per atom
**Final energy**: -5.845 eV per atom

Lattice parameters (Å, degrees): 4.803 4.803 14.697 90.00 90.00 90.00
Atoms (fractional coordinates):
Ce1 0.000 0.000 0.000
Ce2 0.000 0.000 0.333
Ce3 0.000 0.000 0.667
Ce4 0.000 0.500 0.167
Ce5 0.000 0.500 0.500
Ce6 0.000 0.500 0.833
Ce7 0.500 0.000 0.167
Ce8 0.500 0.000 0.500
Ce9 0.500 0.000 0.833
Th1 0.500 0.500 0.000
Pb1 0.500 0.500 0.334
Pb2 0.500 0.500 0.666

=====

Entry 3:
# ThScCuSi

A relaxed structure of ThScCuSi (PBE-GGA, Alexandria via LeMat-Bulk).

**Spin magnetization**: 0.00 μB/f.u.
**Formation energy (no corrections)**: -0.338 eV/atom
**Symmetry**: No. 216
**Fermi-level density of states**: 0.8012 states/eV per atom
**Final energy**: -6.156 eV per atom

Lattice parameters (Å, degrees): 4.893 4.893 4.893 60.00 60.00 60.00
Atoms (fractional coordinates):
Th1 0.000 0.000 0.000
Sc1 0.500 0.500 0.500
Cu1 0.250 0.250 0.250
Si1 0.750 0.750 0.750